1.
Here is an optimized crystal structure of VCdAs2Pt from Alexandria via LeMat-Bulk. Energies are from GGA-PBE.

Properties
The value obtained for the formation enthalpy at 0 K is 0.76 eV per atom.

a b c (Å): 4.8997 4.8972 4.8997
angles (deg): 90.00 90.00 90.00
Last column: magnetic moment on the atom in μB.
Element x y z (fractional)
1 Cd 0.5000 0.5000 0.5000  -0.02
2 Pt 0.0000 0.0000 0.0000  0.03
3 V 0.0000 0.5000 0.0000  0.17
4 As 0.5000 0.0000 0.0000  0.00
5 As 0.0000 0.0000 0.5000  0.02

=====

2.
Here is an optimized crystal structure of ZrCoN from Alexandria via LeMat-Bulk. Energies are from GGA-PBE.

Properties
For the energy relative to the elements, uncorrected, the calculation gives -0.72 eV per atom.

a b c (Å): 8.2941 4.5422 4.2068
angles (deg): 90.00 90.00 90.00
Element x y z (fractional)
1 N 0.1911 0.5000 0.0000
2 N 0.6911 0.0000 0.0000
3 N 0.3089 0.0000 0.5000
4 N 0.8089 0.5000 0.5000
5 Co 0.0000 0.4368 0.7500
6 Co 0.5000 0.0632 0.2500
7 Co 0.0000 0.5632 0.2500
8 Co 0.5000 0.9368 0.7500
9 Zr 0.8080 0.0000 0.5000
10 Zr 0.6920 0.5000 0.0000
11 Zr 0.3080 0.5000 0.5000
12 Zr 0.1920 0.0000 0.0000

=====

3.
Here is an optimized crystal structure of Sm6CuNi2I3 from Alexandria via LeMat-Bulk. Energies are from GGA-PBE.

Properties
For the energy relative to the elements, uncorrected, the calculation gives -0.61 eV per atom.

a b c (Å): 7.1510 7.1510 8.2935
angles (deg): 98.27 98.27 119.96
Element x y z (fractional)
1 I 0.8351 0.1649 0.5000
2 I 0.5000 0.5000 0.5000
3 I 0.1649 0.8351 0.5000
4 Sm 0.4081 0.0621 0.1852
5 Sm 0.9379 0.5919 0.8148
6 Sm 0.0621 0.4081 0.1852
7 Sm 0.5919 0.9379 0.8148
8 Sm 0.2849 0.2849 0.8161
9 Sm 0.7151 0.7151 0.1839
10 Cu 0.0000 0.0000 0.0000
11 Ni 0.3330 0.6670 0.0000
12 Ni 0.6670 0.3330 0.0000

=====

4.
Here is an optimized crystal structure of TlIrRuO6 from Alexandria via LeMat-Bulk. Energies are from GGA-PBE.

Properties
For the energy relative to the elements, uncorrected, the calculation gives -0.76 eV per atom.

a b c (Å): 7.1955 7.1637 7.1877
angles (deg): 119.89 120.04 90.00
Element x y z (fractional)
1 Tl 0.8615 0.6115 0.7231
2 Tl 0.1385 0.3885 0.2769
3 O 0.4273 0.6795 0.2474
4 O 0.5760 0.3260 0.1521
5 O 0.8201 0.6795 0.2474
6 O 0.1799 0.3205 0.7526
7 O 0.4240 0.6740 0.8479
8 O 0.1897 0.9397 0.3795
9 O 0.1799 0.9322 0.7526
10 O 0.5727 0.3205 0.7526
11 O 0.5727 0.9322 0.7526
12 O 0.8103 0.0603 0.6205
13 O 0.8201 0.0678 0.2474
14 O 0.4273 0.0678 0.2474
15 Ir 0.5000 0.5000 0.0000
16 Ir 0.5000 0.0000 0.0000
17 Ru 0.0000 0.0000 0.5000
18 Ru 0.5000 0.0000 0.5000

=====

Calculated density readings, ordered: 7.18; 6.88; 6.91; 7.52 g cm⁻³